Record 1
PBE-GGA TbPu2Sn, optimized geometry; M_tot = 50.6 μB/cell; ΔE to the lowest computed polymorph = 288 meV/atom; energy of formation from the pure elements = -0.0165 eV per atom; calculated density = 11.6 Mg/m³; calculated total energy = -9.34 eV per atom; crystal system = cubic
1.0
7.5958 0.0000 0.0000
0.0000 7.5958 0.0000
0.0000 0.0000 7.5958
Tb Pu Sn
4 8 4
direct
0.0000 0.0000 0.0000 Tb
0.0000 0.5000 0.5000 Tb
0.5000 0.0000 0.5000 Tb
0.5000 0.5000 0.0000 Tb
0.2500 0.2500 0.2500 Pu
0.2500 0.2500 0.7500 Pu
0.2500 0.7500 0.2500 Pu
0.2500 0.7500 0.7500 Pu
0.7500 0.2500 0.2500 Pu
0.7500 0.2500 0.7500 Pu
0.7500 0.7500 0.2500 Pu
0.7500 0.7500 0.7500 Pu
0.0000 0.0000 0.5000 Sn
0.0000 0.5000 0.0000 Sn
0.5000 0.0000 0.0000 Sn
0.5000 0.5000 0.5000 Sn

=====

Record 2
PBE-GGA MgAsIr2, optimized geometry; M_tot = 0.0 μB/cell; ΔE to the lowest computed polymorph = 58 meV/atom; energy of formation from the pure elements = -0.1305 eV per atom; calculated density = 13.2 Mg/m³; calculated total energy = -6.12 eV per atom; crystal system = orthorhombic
1.0
3.0795 0.0000 0.0000
0.0000 3.2737 0.0000
0.0000 0.0000 6.0314
Mg As Ir
1 1 2
direct
0.0000 0.0000 0.0000 Mg
0.0000 0.0000 0.5000 As
0.5000 0.5000 0.2577 Ir
0.5000 0.5000 0.7423 Ir

=====

Record 3
PBE-GGA YRhCl, optimized geometry; M_tot = 0.0 μB/cell; uncorrected formation energy = -40.0 kJ/mol of atoms; calculated density = 5.4 Mg/m³; calculated total energy = -5.64 eV per atom; crystal system = cubic
1.0
6.5438 0.0000 0.0000
0.0000 6.5438 0.0000
0.0000 0.0000 6.5438
Y Rh Cl
4 4 4
direct
0.0000 0.0000 0.0000 Y
0.0000 0.5000 0.5000 Y
0.5000 0.0000 0.5000 Y
0.5000 0.5000 0.0000 Y
0.2500 0.2500 0.7500 Rh
0.2500 0.7500 0.2500 Rh
0.7500 0.2500 0.2500 Rh
0.7500 0.7500 0.7500 Rh
0.2500 0.2500 0.2500 Cl
0.2500 0.7500 0.7500 Cl
0.7500 0.2500 0.7500 Cl
0.7500 0.7500 0.2500 Cl

=====

Record 4
PBE-GGA NaAlHg2, optimized geometry; M_tot = 0.0 μB/cell; energy of formation from the pure elements = 0.1045 eV per atom; calculated density = 6.9 Mg/m³; calculated total energy = -1.31 eV per atom; crystal system = tetragonal
1.0
4.8489 0.0000 0.0000
0.0000 4.8489 0.0000
0.0000 0.0000 18.5582
Na Al Hg
4 4 8
direct
0.0000 0.0000 0.0000 Na
0.0000 0.5000 0.2500 Na
0.5000 0.0000 0.7500 Na
0.5000 0.5000 0.5000 Na
0.0000 0.0000 0.5000 Al
0.0000 0.5000 0.7500 Al
0.5000 0.0000 0.2500 Al
0.5000 0.5000 0.0000 Al
0.1956 0.2500 0.6250 Hg
0.2500 0.6956 0.8750 Hg
0.2500 0.8044 0.3750 Hg
0.3044 0.2500 0.1250 Hg
0.6956 0.7500 0.1250 Hg
0.7500 0.1956 0.3750 Hg
0.7500 0.3044 0.8750 Hg
0.8044 0.7500 0.6250 Hg

=====

So what do the calculations give for Fermi-level density of states? Going down the list: 56.34, 2.94, 11.36, 7.35 states/eV per cell.